Below is a geometry-optimized VHIN2 structure, with properties calculated at the PBE level.

Geometry as CIF:
```
data_VHIN2
_chemical_formula_sum 'V1 H1 I1 N2'
_cell_length_a 3.688
_cell_length_b 3.688
_cell_length_c 5.779
_cell_angle_alpha 90.00
_cell_angle_beta 90.00
_cell_angle_gamma 90.00
_space_group_name_H-M_alt 'P 4/m m m'
_space_group_IT_number 123
_space_group_name_Hall '-P 4 2'
loop_
_atom_site_label
_atom_site_fract_x
_atom_site_fract_y
_atom_site_fract_z
V1 0.000 0.000 0.000
H1 0.500 0.500 0.500
I1 0.000 0.000 0.500
N1 0.000 0.500 0.000
```

Spin magnetization in μB per atom: 0.069
DOS(E_F) in states/eV per cell: 2.3
E above lowest polymorph in eV/atom: 0.000
ρ in Mg/m³: 4.37